This record from Alexandria describes a relaxed structure of YTaTl2. The functional is GGA-PBE.

Unit cell a=4.6213 b=4.6213 c=4.3930 alpha=90.00 beta=90.00 gamma=90.00
Closest atoms and distances in Å follow each position.
Fractional coordinates of all 4 atoms:
Y 0.0000 0.0000 0.0000  8 Tl 3.19, 4 Ta 3.27
Ta 0.5000 0.5000 0.0000  8 Tl 3.19, 4 Y 3.27
Tl 0.0000 0.5000 0.5000  4 Ta 3.19, 4 Y 3.19, 4 Tl 3.27
Tl 0.5000 0.0000 0.5000  4 Ta 3.19, 4 Y 3.19, 4 Tl 3.27

Space group: P4/mmm (123)
DFT formation energy (eV per atom): 0.2868
E (eV/atom): -5.48

---

This record from Alexandria describes a relaxed structure of KLi3C. The functional is GGA-PBE.

Unit cell a=4.6513 b=4.6513 c=4.6513 alpha=90.00 beta=90.00 gamma=90.00
Closest atoms and distances in Å follow each position.
Fractional coordinates of all 5 atoms:
K 0.0000 0.0000 0.0000  6 Li 2.33
Li 0.0000 0.0000 0.5000  2 K 2.33
Li 0.0000 0.5000 0.0000  2 K 2.33
Li 0.5000 0.0000 0.0000  2 K 2.33
C 0.5000 0.5000 0.5000  12 Li 3.29

Space group: Pm-3m (221)
DFT formation energy (eV per atom): 1.9574
E (eV/atom): -1.26

---

This record from Alexandria describes a relaxed structure of TaReAs2. The functional is GGA-PBE.

Unit cell a=8.3615 b=8.3615 c=8.3615 alpha=20.90 beta=20.90 gamma=20.90
Closest atoms and distances in Å follow each position.
Fractional coordinates of all 4 atoms:
Ta 0.0000 0.0000 0.0000  6 As 2.80, 6 Ta 3.03
Re 0.5000 0.5000 0.5000  6 As 2.59
As 0.2443 0.2443 0.2443  3 Re 2.59, 3 Ta 2.80
As 0.7557 0.7557 0.7557  3 Re 2.59, 3 Ta 2.80

Space group: R-3m (166)
DFT formation energy (eV per atom): 0.2297
E (eV/atom): -8.17

---

This record from Alexandria describes a relaxed structure of Tb3NdSb4. The functional is GGA-PBE.

Unit cell a=6.2667 b=6.2667 c=6.2667 alpha=90.00 beta=90.00 gamma=90.00
Closest atoms and distances in Å follow each position.
Fractional coordinates of all 8 atoms:
Tb 0.0000 0.0000 0.5000  6 Sb 3.13
Tb 0.0000 0.5000 0.0000  6 Sb 3.13
Tb 0.5000 0.0000 0.0000  6 Sb 3.13
Nd 0.5000 0.5000 0.5000  6 Sb 3.13
Sb 0.0000 0.0000 0.0000  6 Tb 3.13
Sb 0.0000 0.5000 0.5000  4 Tb 3.13, 2 Nd 3.13
Sb 0.5000 0.0000 0.5000  4 Tb 3.13, 2 Nd 3.13
Sb 0.5000 0.5000 0.0000  4 Tb 3.13, 2 Nd 3.13

Space group: Pm-3m (221)
Formation energy without anion corrections (meV per atom): -1156.7
E (eV/atom): -5.55